Record 1
Entry from the Open Quantum Materials Database: a geometry-optimized Zr2Au2O5 structure (PBE).

Properties
E_tot ... -7.079 eV per atom
Space-group type ... P4/mmm (123)

Cell: 8.446 3.951 3.951 Å, 90.00 90.00 90.00°
Each line ends with the local moment (μB).
Positions (direct):
O 0.500 0.500 0.500  -0.01
O 0.810 0.500 0.000  0.04
O 0.810 0.000 0.500  0.04
O 0.190 0.000 0.500  0.04
O 0.190 0.500 0.000  0.04
Au 0.000 0.000 0.000  0.15
Au 0.500 0.000 0.000  -0.01
Zr 0.740 0.500 0.500  -0.01
Zr 0.260 0.500 0.500  -0.01


Record 2
Entry from the Open Quantum Materials Database: a geometry-optimized LaSmBr3N structure (PBE).

Properties
E_tot ... -5.715 eV per atom
Space-group type ... C2/m (12)

Cell: 9.578 9.578 11.927 Å, 122.96 122.96 24.50°
Positions (direct):
Sm 0.575 0.575 0.459
Sm 0.425 0.425 0.541
Br 0.788 0.788 0.387
Br 0.041 0.041 0.255
Br 0.959 0.959 0.745
Br 0.666 0.666 0.010
Br 0.334 0.334 0.990
Br 0.212 0.212 0.613
La 0.136 0.136 0.785
La 0.864 0.864 0.215
N 0.573 0.573 0.651
N 0.427 0.427 0.349


Record 3
Entry from the Open Quantum Materials Database: a geometry-optimized ZnTeAu2 structure (PBE).

Properties
E_tot ... -2.565 eV per atom
Space-group type ... F-43m (216)

Cell: 4.863 4.863 4.863 Å, 60.00 60.00 60.00°
Positions (direct):
Au 0.250 0.250 0.250
Au 0.000 0.000 0.000
Te 0.750 0.750 0.750
Zn 0.500 0.500 0.500


Record 4
Entry from the Open Quantum Materials Database: a geometry-optimized GdBr4 structure (PBE).

Properties
E_tot ... -3.738 eV per atom
Space-group type ... C2/m (12)

Cell: 7.326 7.326 8.469 Å, 93.39 93.39 118.39°
Positions (direct):
Br 0.521 0.141 0.197
Br 0.076 0.076 0.799
Br 0.859 0.479 0.803
Br 0.924 0.924 0.201
Br 0.141 0.521 0.197
Br 0.479 0.859 0.803
Br 0.631 0.631 0.437
Br 0.369 0.369 0.563
Gd 0.828 0.172 0.000
Gd 0.172 0.828 0.000


Record 5
Entry from the Open Quantum Materials Database: a geometry-optimized LuAgOs structure (PBE).

Properties
E_tot ... -5.614 eV per atom
Space-group type ... F-43m (216)

Cell: 4.541 4.541 4.541 Å, 60.00 60.00 60.00°
Positions (direct):
Os 0.000 0.000 0.000
Ag 0.250 0.250 0.250
Lu 0.750 0.750 0.750


Record 6
Entry from the Open Quantum Materials Database: a geometry-optimized GdPaNi structure (PBE).

Properties
E_tot ... -6.372 eV per atom
Space-group type ... F-43m (216)

Cell: 4.646 4.646 4.646 Å, 60.00 60.00 60.00°
Positions (direct):
Gd 0.250 0.250 0.250
Pa 0.750 0.750 0.750
Ni 0.000 0.000 0.000


Record 7
Entry from the Open Quantum Materials Database: a geometry-optimized ErTlCoTe3 structure (PBE).

Properties
E_tot ... -4.446 eV per atom
Space-group type ... Pnma (62)

Cell: 12.534 4.291 12.794 Å, 90.00 90.00 90.00°
Each line ends with the local moment (μB).
Positions (direct):
Te 0.899 0.500 0.560  0.03
Te 0.034 0.500 0.853  0.06
Te 0.101 0.000 0.440  0.03
Te 0.534 0.500 0.647  0.05
Te 0.399 0.500 0.940  0.03
Te 0.601 0.000 0.060  0.03
Te 0.966 0.000 0.147  0.06
Te 0.727 0.500 0.284  0.08
Te 0.227 0.500 0.216  0.08
Te 0.273 0.000 0.716  0.08
Te 0.773 0.000 0.784  0.08
Te 0.466 0.000 0.353  0.05
Tl 0.809 0.500 0.001  0.02
Tl 0.309 0.500 0.499  0.02
Tl 0.191 0.000 0.999  0.02
Tl 0.691 0.000 0.501  0.02
Co 0.735 0.500 0.684  1.49
Co 0.265 0.000 0.316  1.49
Co 0.235 0.500 0.816  1.51
Co 0.765 0.000 0.184  1.51
Er 0.525 0.000 0.815  0.05
Er 0.025 0.000 0.685  0.05
Er 0.475 0.500 0.185  0.05
Er 0.975 0.500 0.315  0.05


Record 8
Entry from the Open Quantum Materials Database: a geometry-optimized RbSnPd structure (PBE).

Properties
E_tot ... -3.775 eV per atom
Space-group type ... P-1 (2)

Cell: 4.818 5.007 8.006 Å, 92.51 90.18 90.18°
Positions (direct):
Sn 0.750 0.201 0.633
Sn 0.250 0.799 0.367
Rb 0.251 0.743 0.839
Rb 0.749 0.257 0.161
Pd 0.751 0.688 0.498
Pd 0.249 0.312 0.502


Q: E_tot of number 3 (ZnTeAu2)?
A: -2.565 eV per atom